This record from Alexandria describes a geometry-optimized La2SbP2 structure. The functional is GGA-PBE.

Structure (POSCAR):
```
La2SbP2
1.0
7.887 0.000 0.000
0.000 7.887 0.000
0.000 0.000 4.059
La P Sb
4 4 2
direct
0.158 0.658 0.500
0.342 0.158 0.500
0.842 0.342 0.500
0.658 0.842 0.500
0.846 0.654 0.000
0.654 0.154 0.000
0.154 0.346 0.000
0.346 0.846 0.000
0.000 0.000 0.000
0.500 0.500 0.000
```

Calculated values
Formation energy (no corrections)   -1.075 eV/atom
Calculated total energy   -6.035 eV per atom
Excess energy over the best structure of this formula in the dataset   0 meV per atom
Space-group type   P4/mbm, No. 127